VASP calculation (PBE) on crystalline LiErSb2 at its relaxed geometry.

a b c (Å): 4.777 4.777 5.826
angles (deg): 65.79 65.79 60.00
Atoms (fractional coordinates):
Sb  0.258  0.258  0.227
Sb  0.742  0.742  0.773
Er  0.500  0.500  0.500
Li  0.000  0.000  0.000

Its density of states at the Fermi level is 1.617 states/eV/cell. As for the energy above the most stable polymorph in this dataset: 200 meV/atom.